[1]
Computed, not measured: Li2MgCu after structural relaxation at the PBEsol level of DFT.

Properties
Electronic total energy (Ry/atom): -0.1824
Volume (Å³/atom): 15.74
Formation energy (eV per atom): 0.015
Magnetic moment (μB/f.u.): 0.0
DOS(E_F) (states/eV per cell): 1.53

Cell: 3.4035 4.1704 4.4348 Å, 90.00 90.00 90.00°
Last column: nearest neighbours and their distance in Å.
Positions (direct):
1 Mg 0.5000 0.0000 0.5000  4 Cu 2.69, 4 Li 2.80
2 Cu 0.0000 0.5000 0.5000  4 Mg 2.69, 4 Li 2.80
3 Li 0.0000 0.0000 0.0000  4 Li 2.69, 4 Mg 2.80
4 Li 0.5000 0.5000 0.0000  4 Li 2.69, 4 Cu 2.80

[2]
Computed, not measured: Li2MgCu after structural relaxation at the PBEsol level of DFT.

Properties
Electronic total energy (Ry/atom): -0.1811
Volume (Å³/atom): 15.71
Formation energy (eV per atom): 0.032
Magnetic moment (μB/f.u.): 0.0
DOS(E_F) (states/eV per cell): 1.58

Cell: 2.8411 4.6031 4.8388 Å, 90.00 96.92 90.00°
Last column: nearest neighbours and their distance in Å.
Positions (direct):
1 Mg 0.5000 0.5000 0.0000  4 Cu 2.65-2.95, 4 Li 2.81, 2 Mg 2.84
2 Cu 0.0000 0.5000 0.5000  4 Mg 2.65-2.95, 4 Li 2.66, 2 Cu 2.84
3 Li 0.7763 0.0000 0.7285  5 Li 2.55-2.84, 2 Cu 2.66, 2 Mg 2.81
4 Li 0.2237 0.0000 0.2715  5 Li 2.55-2.84, 2 Cu 2.66, 2 Mg 2.81

[3]
Computed, not measured: Li3MgCu after structural relaxation at the PBEsol level of DFT.

Properties
Electronic total energy (Ry/atom): -0.1595
Volume (Å³/atom): 19.54
Formation energy (eV per atom): 0.220
Magnetic moment (μB/f.u.): 0.0
DOS(E_F) (states/eV per cell): 1.77

Cell: 4.6053 4.6053 4.6053 Å, 90.00 90.00 90.00°
Last column: nearest neighbours and their distance in Å.
Positions (direct):
1 Mg 0.5000 0.5000 0.5000  12 Li 3.26
2 Cu 0.0000 0.0000 0.0000  6 Li 2.30
3 Li 0.0000 0.5000 0.0000  2 Cu 2.30
4 Li 0.0000 0.0000 0.5000  2 Cu 2.30
5 Li 0.5000 0.0000 0.0000  2 Cu 2.30

[4]
Computed, not measured: LiMg2Cu2 after structural relaxation at the PBEsol level of DFT.

Properties
Electronic total energy (Ry/atom): -0.2083
Volume (Å³/atom): 16.23
Formation energy (eV per atom): -0.021
Energy relative to the lowest polymorph listed for this composition (meV/atom): 0.0
Magnetic moment (μB/f.u.): 0.0
DOS(E_F) (states/eV per cell): 4.17

Cell: 3.0968 7.2396 7.2396 Å, 90.00 90.00 90.00°
Last column: nearest neighbours and their distance in Å.
Positions (direct):
1 Mg 0.5000 0.1715 0.6715  6 Cu 2.62-2.65
2 Mg 0.5000 0.6715 0.8285  6 Cu 2.62-2.65
3 Mg 0.5000 0.8285 0.3285  6 Cu 2.62-2.65
4 Mg 0.5000 0.3285 0.1715  6 Cu 2.62-2.65
5 Cu 0.0000 0.3778 0.8778  1 Cu 2.50, 6 Mg 2.62-2.65
6 Cu 0.0000 0.8778 0.6222  1 Cu 2.50, 6 Mg 2.62-2.65
7 Cu 0.0000 0.6222 0.1222  1 Cu 2.50, 6 Mg 2.62-2.65
8 Cu 0.0000 0.1222 0.3778  1 Cu 2.50, 6 Mg 2.62-2.65
9 Li 0.0000 0.0000 0.0000  4 Cu 2.87, 2 Li 3.10, 8 Mg 3.10
10 Li 0.0000 0.5000 0.5000  4 Cu 2.87, 2 Li 3.10, 8 Mg 3.10

[5]
Computed, not measured: LiMg2Cu2 after structural relaxation at the PBEsol level of DFT.

Properties
Electronic total energy (Ry/atom): -0.1929
Volume (Å³/atom): 18.50
Formation energy (eV per atom): 0.189
Energy relative to the lowest polymorph listed for this composition (meV/atom): 209.5
Magnetic moment (μB/f.u.): 0.0
DOS(E_F) (states/eV per cell): 2.04

Cell: 4.1025 4.1025 6.2137 Å, 109.28 109.28 90.00°
Last column: nearest neighbours and their distance in Å.
Positions (direct):
1 Mg 0.2500 0.7500 0.5000  4 Cu 2.61, 4 Mg 2.90
2 Mg 0.7500 0.2500 0.5000  4 Cu 2.61, 4 Mg 2.90
3 Cu 0.3967 0.3967 0.7934  1 Cu 2.27
4 Cu 0.6033 0.6033 0.2066  1 Cu 2.27
5 Li 0.0000 0.0000 0.0000  8 Cu 3.12, 8 Mg 3.43

[6]
Computed, not measured: Li2MgCu after structural relaxation at the PBEsol level of DFT.

Properties
Electronic total energy (Ry/atom): -0.1838
Volume (Å³/atom): 16.17
Formation energy (eV per atom): -0.004
Magnetic moment (μB/f.u.): 0.0
DOS(E_F) (states/eV per cell): 1.85

Cell: 3.1372 3.1372 6.5721 Å, 90.00 90.00 90.00°
Last column: nearest neighbours and their distance in Å.
Positions (direct):
1 Mg 0.0000 0.0000 0.5354  4 Cu 2.69, 5 Li 2.84-2.99
2 Cu 0.5000 0.5000 0.7670  4 Li 2.58, 4 Mg 2.69
3 Li 0.0000 0.0000 0.9679  4 Cu 2.58, 4 Li 2.81, 1 Mg 2.84
4 Li 0.5000 0.5000 0.2296  8 Li 2.81-3.14, 4 Mg 2.99, 1 Cu 3.04

[7]
Computed, not measured: Li2MgCu after structural relaxation at the PBEsol level of DFT.

Properties
Electronic total energy (Ry/atom): -0.1809
Volume (Å³/atom): 15.61
Formation energy (eV per atom): 0.035
Magnetic moment (μB/f.u.): 0.0
DOS(E_F) (states/eV per cell): 1.71

Cell: 3.1037 3.1037 6.4813 Å, 90.00 90.00 90.03°
Last column: nearest neighbours and their distance in Å.
Positions (direct):
1 Mg 0.5000 0.5000 0.5000  8 Li 2.91, 4 Mg 3.10, 2 Cu 3.24
2 Cu 0.5000 0.5000 0.0000  8 Li 2.56
3 Li 0.0000 0.0000 0.2044  4 Cu 2.56, 1 Li 2.65
4 Li 0.0000 0.0000 0.7956  4 Cu 2.56, 1 Li 2.65

[8]
Computed, not measured: Li2MgCu after structural relaxation at the PBEsol level of DFT.

Properties
Electronic total energy (Ry/atom): -0.1829
Volume (Å³/atom): 15.51
Formation energy (eV per atom): 0.007
Magnetic moment (μB/f.u.): 0.0
DOS(E_F) (states/eV per cell): 1.39

Cell: 3.8816 3.8816 4.9493 Å, 113.09 113.09 90.00°
Last column: nearest neighbours and their distance in Å.
Positions (direct):
1 Mg 0.5000 0.5000 0.0000  4 Cu 2.74, 8 Li 2.83
2 Cu 0.0000 0.0000 0.0000  4 Mg 2.74, 8 Li 2.83
3 Li 0.7500 0.2500 0.5000  4 Li 2.74, 4 Mg 2.83, 4 Cu 2.83
4 Li 0.2500 0.7500 0.5000  4 Li 2.74, 4 Mg 2.83, 4 Cu 2.83

[9]
Computed, not measured: LiMgCu after structural relaxation at the PBEsol level of DFT.

Properties
Electronic total energy (Ry/atom): -0.1972
Volume (Å³/atom): 15.14
Formation energy (eV per atom): -0.011
Energy relative to the lowest polymorph listed for this composition (meV/atom): 0.0
Magnetic moment (μB/f.u.): 0.0
DOS(E_F) (states/eV per cell): 1.12

Cell: 3.1606 3.1606 5.0670 Å, 108.17 108.17 90.00°
Last column: nearest neighbours and their distance in Å.
Positions (direct):
1 Mg 0.6573 0.6573 0.3146  4 Cu 2.70, 5 Li 2.78-2.85
2 Cu 0.9908 0.9908 0.9815  4 Li 2.57, 4 Mg 2.70
3 Li 0.3519 0.3519 0.7039  4 Cu 2.57, 5 Mg 2.78-2.85

[10]
Computed, not measured: Li2MgCu after structural relaxation at the PBEsol level of DFT.

Properties
Electronic total energy (Ry/atom): -0.1835
Volume (Å³/atom): 16.08
Formation energy (eV per atom): 0.000
Magnetic moment (μB/f.u.): 0.0
DOS(E_F) (states/eV per cell): 1.68

Cell: 2.9616 3.3923 6.4022 Å, 90.00 90.00 90.00°
Last column: nearest neighbours and their distance in Å.
Positions (direct):
1 Mg 0.0000 0.0000 0.5341  4 Cu 2.70, 5 Li 2.80-2.98, 2 Mg 2.96
2 Cu 0.5000 0.5000 0.7664  4 Li 2.60, 4 Mg 2.70
3 Li 0.0000 0.0000 0.9708  4 Cu 2.60, 4 Li 2.79, 1 Mg 2.80
4 Li 0.5000 0.5000 0.2288  6 Li 2.79-2.96, 1 Cu 2.96, 4 Mg 2.98

[11]
Computed, not measured: LiMgCu after structural relaxation at the PBEsol level of DFT.

Properties
Electronic total energy (Ry/atom): -0.1957
Volume (Å³/atom): 15.05
Formation energy (eV per atom): 0.011
Energy relative to the lowest polymorph listed for this composition (meV/atom): 21.5
Magnetic moment (μB/f.u.): 0.0
DOS(E_F) (states/eV per cell): 1.09

Cell: 2.7662 4.3408 4.3408 Å, 120.00 90.00 90.00°
Last column: nearest neighbours and their distance in Å.
Positions (direct):
1 Mg 0.3438 0.3333 0.6667  6 Li 2.72-3.04, 6 Cu 2.75-2.99, 2 Mg 2.77
2 Cu 0.9332 0.0000 0.0000  3 Li 2.57, 3 Mg 2.75, 2 Cu 2.77
3 Li 0.7230 0.6667 0.3333  3 Cu 2.57, 3 Mg 2.72, 2 Li 2.77

[12]
Computed, not measured: Li2MgCu after structural relaxation at the PBEsol level of DFT.

Properties
Electronic total energy (Ry/atom): -0.1843
Volume (Å³/atom): 15.50
Formation energy (eV per atom): -0.011
Magnetic moment (μB/f.u.): 0.0
DOS(E_F) (states/eV per cell): 1.55

Cell: 4.2620 4.5527 4.2620 Å, 62.09 90.00 117.91°
Last column: nearest neighbours and their distance in Å.
Positions (direct):
1 Mg 0.5000 0.0000 0.5000  4 Cu 2.73, 8 Li 2.73-3.01
2 Cu 0.7500 0.5000 0.7500  8 Li 2.73-3.01, 4 Mg 2.73
3 Li 0.0000 0.0000 0.0000  4 Li 2.73, 4 Cu 2.73, 4 Mg 3.01
4 Li 0.2500 0.5000 0.2500  4 Mg 2.73, 4 Li 2.73, 4 Cu 3.01